No. 1
This record from the Open Quantum Materials Database describes a relaxed structure of NaNdGa. The functional is PBE.

Calculated values
symmetry	F-43m, No. 216
ΔE to the lowest computed polymorph	339.6	meV per atom

The structure in extended XYZ format:
```
3
Lattice="0.0000 3.5621 3.5621 3.5621 0.0000 3.5621 3.5621 3.5621 0.0000" Properties=species:S:1:pos:R:3 pbc="T T T"
Ga 1.7811 1.7811 1.7811
Na 5.3432 5.3432 5.3432
Nd 0.0000 0.0000 0.0000
```

=====

No. 2
This record from the Open Quantum Materials Database describes a relaxed structure of NaNdGa. The functional is PBE.

Calculated values
symmetry	F-43m, No. 216
ΔE to the lowest computed polymorph	0.0	meV per atom

The structure in extended XYZ format:
```
3
Lattice="0.0000 3.5460 3.5460 3.5460 0.0000 3.5460 3.5460 3.5460 0.0000" Properties=species:S:1:pos:R:3 pbc="T T T"
Ga 0.0000 0.0000 0.0000
Na 1.7730 1.7730 1.7730
Nd 5.3190 5.3190 5.3190
```

=====

No. 3
This record from the Open Quantum Materials Database describes a relaxed structure of NaNdGa4Pt2. The functional is PBE.

Calculated values
symmetry	Amm2, No. 38
raw total energy	-4.457	eV per atom

The structure in extended XYZ format:
```
8
Lattice="-5.2483 -4.1368 1.6756 3.4393 -3.1511 2.9928 1.6280 0.0802 5.2970" Properties=species:S:1:pos:R:3 pbc="T T T"
Ga 0.8328 -1.8973 3.3153
Ga -2.4178 -4.4595 4.3531
Ga 1.6792 -3.1686 5.7634
Ga -0.4836 -4.8733 6.4539
Na 0.4001 -0.2425 0.6545
Nd 2.0506 -4.9014 8.4854
Pt -1.5735 -2.7051 2.5566
Pt 4.0367 -2.4464 6.6039
```

=====

No. 4
This record from the Open Quantum Materials Database describes a relaxed structure of NaNdGa4S8. The functional is PBE.

Calculated values
symmetry	Fddd, No. 70
raw total energy	-4.685	eV per atom

The structure in extended XYZ format:
```
56
Lattice="-4.5468 -7.8310 11.1283 -11.1679 -1.4404 3.6739 -1.7369 -11.7109 0.2957" Properties=species:S:1:pos:R:3 pbc="T T T"
Ga -8.8319 -6.6676 10.0413
Ga -14.1411 -7.6468 10.9417
Ga -5.9365 -6.8702 7.6349
Ga -11.2457 -7.8495 8.5354
Ga -6.6826 -11.0360 11.6020
Ga -12.2620 -11.7733 13.4462
Ga -4.4468 -11.6585 8.6308
Ga -10.0062 -12.4696 10.5066
Ga -7.4514 -8.5166 4.5860
Ga -12.7316 -9.6038 5.5327
Ga -4.5361 -8.7931 2.2113
Ga -9.8162 -9.8803 3.1580
Ga -11.8082 -13.7583 8.3657
Ga -6.1998 -13.1290 6.5677
Ga -9.5525 -14.4546 5.4261
Ga -3.9639 -13.7514 3.5964
Na -5.5648 -0.7911 1.8673
Na -9.9660 -5.8949 5.5810
Na -3.1610 -9.7000 5.6816
Na -7.4856 -15.0874 9.5168
Nd 0.0000 0.0000 0.0000
Nd -4.3629 -5.2456 3.7745
Nd -8.7258 -10.4912 7.5489
Nd -13.0887 -15.7367 11.3234
S -10.4498 -5.6802 8.7080
S -2.5359 -1.0596 1.2187
S -8.2465 -1.8093 3.0667
S -4.8729 -5.0156 6.7284
S -4.0368 -8.0610 8.1743
S -7.2843 -4.8767 4.3816
S -1.8270 -4.1860 2.5557
S -9.6278 -8.8368 9.8687
S -13.4480 -8.2899 8.8298
S -15.7313 -12.2117 14.3855
S -10.1109 -11.6266 12.6064
S -7.8269 -7.7485 6.7405
S -10.8475 -8.7020 6.4171
S -5.2611 -8.0320 4.2727
S -13.3848 -12.7856 11.7552
S -7.7991 -12.0717 9.9210
S -3.4675 -6.9040 1.4321
S -11.2384 -11.5496 8.7729
S -5.8246 -10.8729 6.9415
S -9.0553 -7.6915 3.1314
S -8.2124 -10.7053 4.6126
S -4.8220 -13.9146 8.2569
S -10.5761 -14.6783 10.0994
S -2.6323 -10.0524 2.6381
S -14.0153 -14.1562 8.9513
S -8.4296 -13.4423 7.1172
S -16.5534 -18.1960 14.5997
S -10.9670 -17.5259 12.4552
S -13.9876 -18.4794 12.1319
S -11.7036 -14.6013 6.2659
S -6.0832 -14.0162 4.4868
S -8.3664 -17.9380 10.0425
```

=====

Number 1: calculated density 4.35 g/cm3, V 90.4 Å³/f.u.. Number 2: calculated density 4.41 g/cm3, V 89.2 Å³/f.u.. Number 3: calculated density 9.07 g/cm3, V 153.1 Å³/f.u.. Number 4: calculated density 3.71 g/cm3, V 314.5 Å³/f.u..